First-principles (GGA-PBE) data for a relaxed Zn3Se crystal, as listed in Alexandria.

Cell: 4.3662 7.8740 4.8807 Å, 90.00 90.00 90.00°
Closest atoms and distances in Å follow each position.
Atoms (fractional coordinates):
1 Zn 0.2500 0.0241 0.1286  1 Se 2.48, 3 Zn 2.50-2.55
2 Zn 0.2500 0.4759 0.1286  1 Se 2.48, 3 Zn 2.50-2.55
3 Zn 0.2500 0.7500 0.8681  2 Zn 2.50, 2 Se 2.78
4 Zn 0.7500 0.2500 0.1319  2 Zn 2.50, 2 Se 2.78
5 Zn 0.7500 0.5241 0.8714  1 Se 2.48, 3 Zn 2.50-2.55
6 Zn 0.7500 0.9759 0.8714  1 Se 2.48, 3 Zn 2.50-2.55
7 Se 0.2500 0.2500 0.4831  4 Zn 2.48-2.78
8 Se 0.7500 0.7500 0.5169  4 Zn 2.48-2.78

Output
- Space group: Pmmn (59)
- Total magnetic moment: 0.00 μB per cell
- Energy: -7.7 eV/f.u.
- Formation energy (no corrections): -0.370 eV/f.u.
- Energy relative to the lowest polymorph listed for this composition: 74.2 meV/atom
- Fermi-level density of states: 0.15 states/eV/atom